ZnSiCl2: single point on PBEsol structure, SCAN.

Computed properties:
E above lowest polymorph	0.289	eV/atom
E	-9.5081	eV per atom
E_form (uncorrected)	1.45	eV/f.u.

a = 4.7399 Å, b = 4.7399 Å, c = 4.7399 Å
α = 60.00°, β = 60.00°, γ = 60.00°
Last column: nearest neighbours and their distance in Å.
Positions (direct):
Zn1 0.0000 0.0000 0.0000  4 Cl 2.90, 4 Si 2.90
Si1 0.2500 0.2500 0.2500  4 Cl 2.90, 4 Zn 2.90
Cl1 0.5000 0.5000 0.5000  4 Cl 2.90, 4 Si 2.90
Cl2 0.7500 0.7500 0.7500  4 Cl 2.90, 4 Zn 2.90